Record 1
SiBi3Te: relaxed, PBE-GGA.

abc: 5.443 5.443 5.443
angles: 90.00 90.00 90.00
Atoms (fractional coordinates):
1 Si 0.000 0.000 0.000
2 Te 0.500 0.500 0.500
3 Bi 0.000 0.500 0.000
4 Bi 0.000 0.000 0.500
5 Bi 0.500 0.000 0.000

Results
E: -3.480 eV per atom
volume: 161 Å³ per cell
density of states at the Fermi level: 0.69 states/eV/atom
symmetry: Pm-3m
formation energy without anion corrections: 0.562 eV/atom



Record 2
Nb3CuRe: relaxed, PBE-GGA.

abc: 4.578 4.578 4.578
angles: 90.00 90.00 90.00
Atoms (fractional coordinates):
1 Re 0.500 0.500 0.500
2 Nb 0.000 0.500 0.000
3 Nb 0.000 0.000 0.500
4 Nb 0.500 0.000 0.000
5 Cu 0.000 0.000 0.000

Results
E: -7.955 eV per atom
volume: 96 Å³ per cell
density of states at the Fermi level: 1.22 states/eV/atom
symmetry: Pm-3m



Record 3
ZrTl2HgN: relaxed, PBE-GGA.

abc: 5.904 3.827 5.904
angles: 90.00 90.00 90.00
Atoms (fractional coordinates):
1 Tl 0.000 0.000 0.500
2 Tl 0.500 0.000 0.000
3 Hg 0.000 0.000 0.000
4 Zr 0.500 0.500 0.500
5 N 0.000 0.500 0.000

Results
E: -3.199 eV per atom
volume: 133 Å³ per cell
density of states at the Fermi level: 0.84 states/eV/atom
symmetry: P4/mmm
formation energy without anion corrections: 1.183 eV/atom



Record 4
ThCo3Ge: relaxed, PBE-GGA.

abc: 4.372 5.481 7.043
angles: 90.00 90.00 90.00
Atoms (fractional coordinates):
1 Th 0.500 0.000 0.000
2 Th 0.500 0.500 0.500
3 Co 0.500 0.500 0.000
4 Co 0.500 0.000 0.500
5 Co 0.000 0.749 0.250
6 Co 0.000 0.249 0.250
7 Co 0.000 0.251 0.750
8 Co 0.000 0.751 0.750
9 Ge 0.000 0.500 0.000
10 Ge 0.000 0.000 0.500

Results
E: -6.623 eV per atom
volume: 169 Å³ per cell
density of states at the Fermi level: 1.06 states/eV/atom
symmetry: Cmmm



Record 5
CeNd4Tl2: relaxed, PBE-GGA.

abc: 6.125 6.114 8.192
angles: 124.95 116.61 68.59
Atoms (fractional coordinates):
1 Tl 0.591 0.679 0.269
2 Tl 0.409 0.321 0.731
3 Nd 0.788 0.289 0.500
4 Nd 0.212 0.711 0.500
5 Nd 0.500 0.000 0.000
6 Nd 0.000 0.500 0.000
7 Ce 0.000 0.000 0.000

Results
E: -4.188 eV per atom
volume: 222 Å³ per cell
density of states at the Fermi level: 1.70 states/eV/atom
symmetry: P-1



Record 6
TmLu2Sb: relaxed, PBE-GGA.

abc: 4.014 4.014 6.755
angles: 90.00 90.00 90.00
Atoms (fractional coordinates):
1 Sb 0.500 0.500 0.000
2 Lu 0.000 0.000 0.764
3 Lu 0.000 0.000 0.236
4 Tm 0.500 0.500 0.500

Results
E: -4.842 eV per atom
volume: 109 Å³ per cell
density of states at the Fermi level: 1.18 states/eV/atom
symmetry: P4/mmm
formation energy without anion corrections: -0.433 eV/atom



Record 7
BaPtBr: relaxed, PBE-GGA.

abc: 5.161 5.161 5.161
angles: 60.00 60.00 60.00
Atoms (fractional coordinates):
1 Br 0.750 0.750 0.750
2 Ba 0.500 0.500 0.500
3 Pt 0.000 0.000 0.000

Results
E: -3.674 eV per atom
volume: 97 Å³ per cell
density of states at the Fermi level: 1.30 states/eV/atom
symmetry: F-43m
formation energy without anion corrections: -0.462 eV/atom



Record 8
TlMoAs4: relaxed, PBE-GGA.

abc: 5.648 5.648 5.648
angles: 60.00 60.00 60.00
Atoms (fractional coordinates):
1 Tl 0.000 0.000 0.000
2 Mo 0.750 0.750 0.750
3 As 0.880 0.373 0.373
4 As 0.373 0.373 0.880
5 As 0.373 0.880 0.373
6 As 0.373 0.373 0.373

Results
E: -4.571 eV per atom
volume: 127 Å³ per cell
density of states at the Fermi level: 0.72 states/eV/atom
symmetry: F-43m



Record 9
SrPmTcN3: relaxed, PBE-GGA.

abc: 3.908 7.060 7.227
angles: 104.73 90.00 106.07
Atoms (fractional coordinates):
1 Sr 0.358 0.716 0.925
2 Sr 0.642 0.284 0.075
3 Pm 0.658 0.316 0.574
4 Pm 0.342 0.684 0.426
5 Tc 0.996 0.991 0.301
6 Tc 0.004 0.009 0.699
7 N 0.850 0.700 0.187
8 N 0.843 0.685 0.655
9 N 0.502 0.004 0.292
10 N 0.157 0.315 0.345
11 N 0.498 0.996 0.708
12 N 0.150 0.300 0.813

Results
E: -7.734 eV per atom
volume: 185 Å³ per cell
density of states at the Fermi level: 0.39 states/eV/atom
symmetry: C2/m
formation energy without anion corrections: -0.771 eV/atom



Record 10
Mn4AsBr: relaxed, PBE-GGA.

abc: 5.127 5.127 5.127
angles: 60.00 60.00 60.00
Atoms (fractional coordinates):
1 Mn 0.870 0.377 0.377
2 Mn 0.377 0.377 0.870
3 Mn 0.377 0.870 0.377
4 Mn 0.377 0.377 0.377
5 As 0.750 0.750 0.750
6 Br 0.000 0.000 0.000

Results
E: -6.513 eV per atom
volume: 95 Å³ per cell
density of states at the Fermi level: 0.79 states/eV/atom
symmetry: F-43m
formation energy without anion corrections: 0.654 eV/atom



Record 11
AlSiSb: relaxed, PBE-GGA.

abc: 4.720 4.720 4.720
angles: 60.00 60.00 60.00
Atoms (fractional coordinates):
1 Sb 0.750 0.750 0.750
2 Si 0.000 0.000 0.000
3 Al 0.500 0.500 0.500

Results
E: -3.849 eV per atom
volume: 74 Å³ per cell
density of states at the Fermi level: 0.41 states/eV/atom
symmetry: F-43m
formation energy without anion corrections: 0.580 eV/atom



Record 12
BeHg2P: relaxed, PBE-GGA.

abc: 5.158 5.158 5.158
angles: 131.88 131.88 70.42
Atoms (fractional coordinates):
1 P 0.250 0.750 0.500
2 Hg 0.000 0.000 0.000
3 Hg 0.500 0.500 0.000
4 Be 0.750 0.250 0.500

Results
E: -1.721 eV per atom
volume: 75 Å³ per cell
density of states at the Fermi level: 0.37 states/eV/atom
symmetry: I4/mmm



Record 13
Li2TlCuSi: relaxed, PBE-GGA.

abc: 4.932 4.846 4.932
angles: 90.00 90.00 90.00
Atoms (fractional coordinates):
1 Tl 0.000 0.000 0.000
2 Si 0.500 0.500 0.500
3 Cu 0.000 0.500 0.000
4 Li 0.000 0.000 0.500
5 Li 0.500 0.000 0.000

Results
E: -2.429 eV per atom
volume: 118 Å³ per cell
density of states at the Fermi level: 0.32 states/eV/atom
symmetry: P4/mmm
formation energy without anion corrections: 0.713 eV/atom



Record 14
Ce2SmHo: relaxed, PBE-GGA.

abc: 9.325 6.531 6.599
angles: 60.34 68.79 43.03
Atoms (fractional coordinates):
1 Ce 0.786 0.765 0.965
2 Ce 0.214 0.235 0.035
3 Ce 0.714 0.270 0.965
4 Ce 0.286 0.730 0.035
5 Sm 0.000 0.500 0.500
6 Sm 0.500 0.000 0.500
7 Ho 0.250 0.710 0.580
8 Ho 0.750 0.290 0.420

Results
E: -5.113 eV per atom
volume: 238 Å³ per cell
density of states at the Fermi level: 2.26 states/eV/atom
symmetry: C2/c



Record 15
Tb4MgZn: relaxed, PBE-GGA.

abc: 4.961 4.962 7.642
angles: 90.01 90.00 90.00
Atoms (fractional coordinates):
1 Tb 0.501 0.997 0.273
2 Tb 0.501 0.997 0.723
3 Tb 0.001 0.497 0.723
4 Tb 0.001 0.497 0.273
5 Mg 0.501 0.497 0.998
6 Zn 0.001 0.997 0.498

Results
E: -3.355 eV per atom
volume: 188 Å³ per cell
density of states at the Fermi level: 1.43 states/eV/atom
symmetry: P4/mmm



Record 16
Ba2ZnGaRh: relaxed, PBE-GGA.

abc: 6.021 6.021 4.843
angles: 90.00 90.00 90.00
Atoms (fractional coordinates):
1 Zn 0.500 0.500 0.500
2 Rh 0.000 0.000 0.000
3 Ba 0.000 0.500 0.000
4 Ba 0.500 0.000 0.000
5 Ga 0.000 0.000 0.500

Results
E: -3.320 eV per atom
volume: 176 Å³ per cell
density of states at the Fermi level: 0.85 states/eV/atom
symmetry: P4/mmm



Record 17
Mg2Ag2Se: relaxed, PBE-GGA.

abc: 8.013 8.013 8.013
angles: 152.81 152.81 38.83
Atoms (fractional coordinates):
1 Mg 0.601 0.601 0.000
2 Mg 0.399 0.399 0.000
3 Ag 0.250 0.750 0.500
4 Ag 0.750 0.250 0.500
5 Se 0.000 0.000 0.000

Results
E: -2.735 eV per atom
volume: 107 Å³ per cell
density of states at the Fermi level: 0.32 states/eV/atom
symmetry: I4/mmm
formation energy without anion corrections: -0.259 eV/atom



Record 18
GeSbN2: relaxed, PBE-GGA.

abc: 5.305 5.305 5.663
angles: 62.07 62.07 90.00
Atoms (fractional coordinates):
1 Sb 0.000 0.000 0.000
2 Sb 0.750 0.250 0.500
3 Ge 0.500 0.500 0.000
4 Ge 0.250 0.750 0.500
5 N 0.529 0.125 0.250
6 N 0.221 0.625 0.250
7 N 0.375 0.471 0.750
8 N 0.875 0.779 0.750

Results
E: -5.796 eV per atom
volume: 119 Å³ per cell
density of states at the Fermi level: 0.22 states/eV/atom
symmetry: I-42d
formation energy without anion corrections: 0.551 eV/atom



Record 19
HoSi2Rh2: relaxed, PBE-GGA.

abc: 5.749 5.749 5.749
angles: 138.71 138.71 59.82
Atoms (fractional coordinates):
1 Ho 0.000 0.000 0.000
2 Si 0.621 0.621 0.000
3 Si 0.379 0.379 0.000
4 Rh 0.750 0.250 0.500
5 Rh 0.250 0.750 0.500

Results
E: -7.145 eV per atom
volume: 82 Å³ per cell
density of states at the Fermi level: 0.62 states/eV/atom
symmetry: I4/mmm
formation energy without anion corrections: -1.119 eV/atom



Record 20
YTlGa2: relaxed, PBE-GGA.

abc: 5.113 5.113 5.113
angles: 60.00 60.00 60.00
Atoms (fractional coordinates):
1 Y 0.000 0.000 0.000
2 Tl 0.500 0.500 0.500
3 Ga 0.250 0.250 0.250
4 Ga 0.750 0.750 0.750

Results
E: -3.867 eV per atom
volume: 95 Å³ per cell
density of states at the Fermi level: 0.85 states/eV/atom
symmetry: Fm-3m